[1]
## Cs3La3TaS8 (PBE-GGA)

Data for Cs3La3TaS8 after structural relaxation.

a = 8.3041 Å, b = 8.3041 Å, c = 24.7098 Å
α = 90.00°, β = 90.00°, γ = 120.00°
Space group R-3m (No. 166, hexagonal axes)
Symmetry-distinct sites (fractional):
Cs 0.0000 0.5000 0.0000 [9 per cell]
La 0.0000 0.5000 0.5000 [9 per cell]
Ta 0.0000 0.0000 0.5000 [3 per cell]
S 0.0000 0.0000 0.2306 [6 per cell]
S 0.0391 0.5196 0.2240 [18 per cell]

VASP energy = -260.9 eV for the cell shown

=====

[2]
## Cs4La3TbS8 (PBE-GGA)

Data for Cs4La3TbS8 after structural relaxation.

a = 8.5900 Å, b = 8.5900 Å, c = 24.2144 Å
α = 90.00°, β = 90.00°, γ = 120.00°
Space group R-3m (No. 166, hexagonal axes)
Symmetry-distinct sites (fractional):
Cs 0.0000 0.0000 0.0000 [3 per cell]
Cs 0.0000 0.5000 0.0000 [9 per cell]
La 0.0000 0.5000 0.5000 [9 per cell]
Tb 0.0000 0.0000 0.5000 [3 per cell]
S 0.0000 0.0000 0.2292 [6 per cell]
S 0.0100 0.5050 0.2282 [18 per cell]

VASP energy = -257.3 eV for the cell shown